Record 1
Below is crystalline Cu4Ag5 at its relaxed geometry, with properties calculated at the PBE level.

Output
- space-group type = Cm, No. 8

The structure in extended XYZ format:
```
9
Lattice="5.895 -1.408 0.000 5.895 1.408 0.000 -2.103 0.000 8.323" Properties=species:S:1:pos:R:3 pbc="T T T"
Cu 0.000 0.000 0.000
Cu -0.576 0.000 2.688
Cu 3.971 0.000 0.943
Cu 6.832 0.000 4.442
Ag -1.116 0.000 5.449
Ag 2.432 0.000 6.400
Ag 3.155 0.000 3.588
Ag 7.421 0.000 1.770
Ag 6.121 0.000 7.488
```


Record 2
Below is crystalline Cu3Ag5 at its relaxed geometry, with properties calculated at the PBE level.

Output
- space-group type = Cm, No. 8

The structure in extended XYZ format:
```
8
Lattice="9.167 -1.412 0.000 9.167 1.412 0.000 -0.300 0.000 4.868" Properties=species:S:1:pos:R:3 pbc="T T T"
Cu 0.000 0.000 0.000
Cu 10.989 0.000 4.255
Cu 15.717 0.000 3.021
Ag 2.017 0.000 1.788
Ag 4.203 0.000 3.644
Ag 6.877 0.000 0.514
Ag 8.817 0.000 2.533
Ag 13.617 0.000 1.206
```


Taking the records one at a time from the top gives formation enthalpy at 0 K values of 0.095 0.091 eV per atom.